A) # Sb2IrW, optimized geometry, DFT PBE-GGA
data_Sb2IrW
_chemical_formula_sum 'Sb2 Ir1 W1'
_cell_length_a 4.643
_cell_length_b 4.643
_cell_length_c 5.552
_cell_angle_alpha 78.52
_cell_angle_beta 78.52
_cell_angle_gamma 39.87
_symmetry_space_group_name_H-M 'P 1'
_symmetry_Int_Tables_number 1
loop_
_symmetry_equiv_pos_as_xyz
'x,y,z'
loop_
_atom_site_label
_atom_site_type_symbol
_atom_site_fract_x
_atom_site_fract_y
_atom_site_fract_z
Ir1 Ir 0.250 0.250 0.250
Sb1 Sb 0.500 0.500 0.506
Sb2 Sb 0.000 0.000 0.994
W1 W 0.750 0.750 0.750
# **SG**: C2/m, No. 12
# **Calculated density**: 13.7 Mg/m³

B) # Sb2IrW, optimized geometry, DFT PBE-GGA
data_Sb2IrW
_chemical_formula_sum 'Sb2 Ir1 W1'
_cell_length_a 5.561
_cell_length_b 5.561
_cell_length_c 5.561
_cell_angle_alpha 138.25
_cell_angle_beta 138.25
_cell_angle_gamma 60.52
_symmetry_space_group_name_H-M 'P 1'
_symmetry_Int_Tables_number 1
loop_
_symmetry_equiv_pos_as_xyz
'x,y,z'
loop_
_atom_site_label
_atom_site_type_symbol
_atom_site_fract_x
_atom_site_fract_y
_atom_site_fract_z
Sb1 Sb 0.250 0.750 0.500
Sb2 Sb 0.000 0.000 0.000
Ir1 Ir 0.750 0.250 0.500
W1 W 0.500 0.500 0.000
# **SG**: I-4m2, No. 119
# **Calculated density**: 13.6 Mg/m³

Most stable structure among those shown: A).